# Ti4NbSb, optimized geometry, DFT PBE
data_Ti4NbSb
_cell_length_a 4.4958
_cell_length_b 4.4958
_cell_length_c 21.6680
_cell_angle_alpha 90.00
_cell_angle_beta 90.00
_cell_angle_gamma 120.00
_symmetry_space_group_name_H-M 'R -3 m'
_symmetry_Int_Tables_number 166
_symmetry_space_group_name_Hall '-R 3 2"'
loop_
_atom_site_label
_atom_site_fract_x
_atom_site_fract_y
_atom_site_fract_z
_atom_site_occupancy
Ti1 0.0000 0.0000 0.1168 1
Ti2 0.0000 0.0000 0.3677 1
Nb1 0.0000 0.0000 0.0000 1
Sb1 0.0000 0.0000 0.5000 1
# relative energy among the computed polymorphs: 400 meV per atom
# formation energy (no corrections): 0.29 eV/atom